## CaHo4Sb5 (PBE)

Data for crystalline CaHo4Sb5 at its relaxed geometry.

POSCAR file:
```
CaHo4Sb5
1.0
-2.1918 3.1086 11.0460
2.1918 -3.1086 11.0460
2.1918 3.1086 -11.0460
Ca Ho Sb
1 4 5
Cartesian
0.0000 0.0000 0.0000
0.0000 0.0000 4.4385
0.0000 0.0000 8.8654
0.0000 0.0000 13.2265
0.0000 0.0000 17.6534
2.1918 0.0000 2.3140
2.1918 0.0000 6.6426
0.0000 3.1086 0.0000
0.0000 3.1086 4.4034
0.0000 3.1086 8.7320
```

Summary:
Uncorrected energy in eV per atom: -5.135
Space-group type: No. 71
Magnetization in Bohr magnetons per cell: 0.00

---

## Ca5HoSb4 (PBE)

Data for crystalline Ca5HoSb4 at its relaxed geometry.

POSCAR file:
```
Ca5HoSb4
1.0
9.9144 -2.3390 0.0000
9.9144 2.3390 0.0000
-3.5280 0.0000 7.6189
Ca Ho Sb
5 1 4
Cartesian
0.0000 0.0000 0.0000
6.2579 0.0000 0.6889
4.5591 0.0000 4.3552
11.7418 0.0000 3.2637
10.0430 0.0000 6.9300
-1.7640 0.0000 3.8094
1.4210 0.0000 5.3014
9.0292 0.0000 1.9163
7.2717 0.0000 5.7026
14.8799 0.0000 2.3175
```

Summary:
Uncorrected energy in eV per atom: -3.975
Space-group type: No. 12
Magnetization in Bohr magnetons per cell: 0.95

---

## CaSmHo2Sb4 (PBE)

Data for crystalline CaSmHo2Sb4 at its relaxed geometry.

POSCAR file:
```
CaSmHo2Sb4
1.0
7.6820 0.0000 0.0000
0.0000 4.4029 0.0000
-2.5266 0.0000 7.2945
Ca Sm Ho Sb
1 1 2 4
Cartesian
0.0000 0.0000 0.0000
3.8410 2.2015 0.0000
-1.2633 2.2015 3.6473
2.5777 0.0000 3.6473
0.0349 0.0000 5.4123
1.3034 2.2015 1.8978
3.8520 2.2015 5.3968
5.1205 0.0000 1.8823
```

Summary:
Uncorrected energy in eV per atom: -5.083
Space-group type: No. 10
Magnetization in Bohr magnetons per cell: 0.00

---

## CaSm2HoSb4 (PBE)

Data for crystalline CaSm2HoSb4 at its relaxed geometry.

POSCAR file:
```
CaSm2HoSb4
1.0
7.7111 0.0000 0.0000
0.0000 4.4376 0.0000
-2.5588 0.0000 7.3290
Ca Sm Ho Sb
1 2 1 4
Cartesian
0.0000 0.0000 0.0000
2.5762 0.0000 3.6645
3.8556 2.2188 0.0000
-1.2794 2.2188 3.6645
-0.0078 0.0000 5.4563
1.2753 2.2188 1.8696
3.8770 2.2188 5.4593
5.1601 0.0000 1.8727
```

Summary:
Uncorrected energy in eV per atom: -5.110
Space-group type: No. 10
Magnetization in Bohr magnetons per cell: 0.00

---

- What is the formula in the second record?
  Ca5HoSb4

---

- Look up the uncorrected energy of the second one.
  -3.975 eV per atom